GaNiHgF6: optimized geometry, GGA+U.

Cell: 5.322 5.322 11.296 Å, 90.00 90.00 120.00°
Fractional positions:
Ga 0.333 0.667 0.250
Ga 0.667 0.333 0.750
Ni 0.333 0.667 0.750
Ni 0.667 0.333 0.250
Hg 0.000 0.000 0.000
Hg 0.000 0.000 0.500
F 0.014 0.383 0.155
F 0.014 0.631 0.345
F 0.369 0.383 0.345
F 0.369 0.986 0.155
F 0.383 0.014 0.655
F 0.383 0.369 0.845
F 0.617 0.631 0.155
F 0.617 0.986 0.345
F 0.631 0.014 0.845
F 0.631 0.617 0.655
F 0.986 0.369 0.655
F 0.986 0.617 0.845

Computed properties:
final energy: -71.29 eV for the cell shown
crystal system: trigonal
volume: 277.1 Å³ per cell